(1)
TaIn4Br after structural relaxation. Source: the Alexandria database, functional PBE.

a b c (Å): 5.910 5.910 5.910
angles (deg): 60.00 60.00 60.00
Positions (direct):
In (0.874, 0.375, 0.375)
In (0.375, 0.375, 0.874)
In (0.375, 0.874, 0.375)
In (0.375, 0.375, 0.375)
Br (0.000, 0.000, 0.000)
Ta (0.750, 0.750, 0.750)

The space group is F-43m. The formation energy (no corrections) comes out at 569 meV per atom.

(2)
KBrO3 after structural relaxation. Source: the Alexandria database, functional PBE.

a b c (Å): 5.387 6.075 6.156
angles (deg): 119.56 98.62 90.00
Positions (direct):
Br (0.000, 0.000, 0.000)
Br (0.500, 0.000, 0.000)
O (0.723, 0.147, 0.854)
O (0.198, 0.853, 0.707)
O (0.723, 0.707, 0.854)
O (0.802, 0.147, 0.293)
O (0.277, 0.853, 0.146)
O (0.277, 0.293, 0.146)
K (0.262, 0.333, 0.665)
K (0.738, 0.667, 0.335)

The space group is C2/m. The formation energy (no corrections) comes out at -152 meV per atom.

(3)
Nb2BiI after structural relaxation. Source: the Alexandria database, functional PBE.

a b c (Å): 7.928 7.928 6.431
angles (deg): 51.95 51.95 90.00
Positions (direct):
Nb (0.875, 0.833, 0.750)
Nb (0.375, 0.417, 0.750)
Nb (0.583, 0.125, 0.250)
Nb (0.167, 0.625, 0.250)
Bi (0.750, 0.250, 0.500)
Bi (0.000, 0.000, 0.000)
I (0.500, 0.500, 0.000)
I (0.250, 0.750, 0.500)

The energy above the most stable polymorph in this dataset is 527.0 meV per atom. The space group is I-42d. The formation energy (no corrections) comes out at 1033 meV per atom.

(4)
Al2Si2Pb after structural relaxation. Source: the Alexandria database, functional PBE.

a b c (Å): 4.504 4.504 5.877
angles (deg): 67.47 67.47 90.00
Positions (direct):
Al (0.750, 0.250, 0.500)
Al (0.250, 0.750, 0.500)
Si (0.620, 0.620, 0.760)
Si (0.380, 0.380, 0.240)
Pb (0.000, 0.000, 0.000)

The energy above the most stable polymorph in this dataset is 0.0 meV per atom. The space group is I4/mmm. The formation energy (no corrections) comes out at 160 meV per atom.

(5)
DyBS3 after structural relaxation. Source: the Alexandria database, functional PBE.

a b c (Å): 6.171 7.182 8.714
angles (deg): 90.00 90.00 90.00
Positions (direct):
S (0.370, 0.009, 0.213)
S (0.327, 0.325, 0.913)
S (0.870, 0.491, 0.713)
S (0.866, 0.208, 0.021)
S (0.130, 0.509, 0.213)
S (0.827, 0.175, 0.413)
S (0.630, 0.991, 0.713)
S (0.366, 0.292, 0.521)
S (0.634, 0.708, 0.021)
S (0.134, 0.792, 0.521)
S (0.673, 0.675, 0.413)
S (0.173, 0.825, 0.913)
B (0.603, 0.142, 0.549)
B (0.103, 0.358, 0.049)
B (0.897, 0.642, 0.549)
B (0.397, 0.858, 0.049)
Dy (0.052, 0.123, 0.715)
Dy (0.948, 0.877, 0.215)
Dy (0.448, 0.623, 0.715)
Dy (0.552, 0.377, 0.215)

The space group is Pna2_1. The formation energy (no corrections) comes out at -1214 meV per atom.

(6)
CsNaMg14O15 after structural relaxation. Source: the Alexandria database, functional PBE.

a b c (Å): 4.194 8.367 10.716
angles (deg): 90.00 90.00 90.00
Positions (direct):
Mg (0.500, 0.000, 0.271)
Mg (0.000, 0.752, 0.181)
Mg (0.000, 0.270, 0.773)
Mg (0.500, 0.500, 0.773)
Mg (0.500, 0.243, 0.579)
Mg (0.000, 0.000, 0.484)
Mg (0.500, 0.240, 0.984)
Mg (0.000, 0.730, 0.773)
Mg (0.500, 0.757, 0.579)
Mg (0.000, 0.248, 0.181)
Mg (0.500, 0.000, 0.791)
Mg (0.500, 0.500, 0.168)
Mg (0.500, 0.760, 0.984)
Mg (0.000, 0.500, 0.979)
O (0.500, 0.500, 0.976)
O (0.500, 0.000, 0.968)
O (0.000, 0.803, 0.592)
O (0.500, 0.000, 0.468)
O (0.000, 0.255, 0.979)
O (0.500, 0.751, 0.192)
O (0.500, 0.233, 0.773)
O (0.500, 0.767, 0.773)
O (0.000, 0.197, 0.592)
O (0.500, 0.249, 0.192)
O (0.500, 0.500, 0.586)
O (0.000, 0.500, 0.175)
O (0.000, 0.000, 0.255)
O (0.000, 0.745, 0.979)
O (0.000, 0.500, 0.789)
Na (0.000, 0.000, 0.022)
Cs (0.000, 0.500, 0.438)

The energy above the most stable polymorph in this dataset is 0.0 meV per atom. The space group is Pmm2. The formation energy (no corrections) comes out at -2324 meV per atom.

(7)
Tm2ThTl after structural relaxation. Source: the Alexandria database, functional PBE.

a b c (Å): 5.441 5.441 5.441
angles (deg): 60.00 60.00 60.00
Last column: magnetic moment on the atom in μB.
Positions (direct):
Tm (0.750, 0.750, 0.750)  0.25
Tm (0.250, 0.250, 0.250)  0.25
Tl (0.500, 0.500, 0.500)  0.00
Th (0.000, 0.000, 0.000)  0.41

The energy above the most stable polymorph in this dataset is 275.7 meV per atom. The space group is Fm-3m.

(8)
KPt3 after structural relaxation. Source: the Alexandria database, functional PBE.

a b c (Å): 4.157 4.157 4.157
angles (deg): 90.00 90.00 90.00
Positions (direct):
Pt (0.000, 0.500, 0.500)
Pt (0.500, 0.500, 0.000)
Pt (0.500, 0.000, 0.500)
K (0.000, 0.000, 0.000)

The energy above the most stable polymorph in this dataset is 557.0 meV per atom. The space group is Pm-3m.

(9)
Na2MnVTe after structural relaxation. Source: the Alexandria database, functional PBE.

a b c (Å): 5.441 4.913 5.441
angles (deg): 90.00 90.00 90.00
Last column: magnetic moment on the atom in μB.
Positions (direct):
V (0.500, 0.500, 0.500)  0.24
Te (0.000, 0.500, 0.000)  -0.04
Na (0.500, 0.000, 0.000)  -0.01
Na (0.000, 0.000, 0.500)  -0.02
Mn (0.000, 0.000, 0.000)  3.37

The space group is P4/mmm. The formation energy (no corrections) comes out at 1177 meV per atom.

(10)
Ti3ZnRe after structural relaxation. Source: the Alexandria database, functional PBE.

a b c (Å): 4.757 4.757 4.757
angles (deg): 90.00 90.00 90.00
Last column: magnetic moment on the atom in μB.
Positions (direct):
Re (0.000, 0.000, 0.000)  -0.12
Ti (0.500, 0.000, 0.000)  0.65
Ti (0.000, 0.000, 0.500)  0.22
Ti (0.000, 0.500, 0.000)  0.37
Zn (0.500, 0.500, 0.500)  -0.01

The energy above the most stable polymorph in this dataset is 923.8 meV per atom. The space group is Pm-3m.

(11)
SbMo2Ir after structural relaxation. Source: the Alexandria database, functional PBE.

a b c (Å): 6.012 6.012 7.020
angles (deg): 64.65 64.65 90.00
Positions (direct):
Ir (0.000, 0.000, 0.000)
Ir (0.750, 0.250, 0.500)
Sb (0.500, 0.500, 0.000)
Sb (0.250, 0.750, 0.500)
Mo (0.875, 0.912, 0.750)
Mo (0.088, 0.625, 0.250)
Mo (0.375, 0.338, 0.750)
Mo (0.662, 0.125, 0.250)

The space group is I-42d. The formation energy (no corrections) comes out at 992 meV per atom.

(12)
SiMoCl2 after structural relaxation. Source: the Alexandria database, functional PBE.

a b c (Å): 2.961 5.342 4.418
angles (deg): 90.00 90.00 90.00
Last column: magnetic moment on the atom in μB.
Positions (direct):
Cl (0.500, 0.500, 0.000)  0.03
Cl (0.000, 0.000, 0.000)  -0.01
Si (0.000, 0.500, 0.500)  -0.04
Mo (0.500, 0.000, 0.500)  1.65

The energy above the most stable polymorph in this dataset is 775.4 meV per atom. The space group is Pmmm. The formation energy (no corrections) comes out at 437 meV per atom.

(13)
Ni2AgOs after structural relaxation. Source: the Alexandria database, functional PBE.

a b c (Å): 4.754 4.754 4.586
angles (deg): 76.49 76.49 32.14
Positions (direct):
Ni (0.017, 0.017, 0.016)
Ni (0.742, 0.742, 0.717)
Os (0.483, 0.483, 0.555)
Ag (0.258, 0.258, 0.212)

The energy above the most stable polymorph in this dataset is 156.5 meV per atom. The space group is Cm.

no.,V (Å³ per atom),theoretical density (g cm⁻³),energy (eV per cell)
1,24.329,8.192,-21.06
2,17.260,3.213,-36.81
3,24.761,8.747,-42.87
4,20.034,5.261,-21.24
5,19.312,4.635,-118.92
6,12.131,3.250,-170.93
7,28.481,11.286,-18.35
8,17.965,14.427,-17.59
9,29.091,3.190,-18.18
10,21.535,6.095,-34.06
11,25.236,8.321,-61.36
12,17.470,4.632,-18.20
13,13.374,12.897,-24.25